Entry 1:
The following is a PBE+U calculation of an optimized crystal structure of HfScMo2F, from Alexandria.

Geometry as POSCAR:
```
HfScMo2F
1.0
5.159 0.000 0.000
0.000 5.468 0.000
0.000 0.000 5.159
Mo Hf F Sc
2 1 1 1
direct
0.000 0.000 0.500
0.500 0.000 0.000
0.000 0.000 0.000
0.500 0.500 0.500
0.000 0.500 0.000
```

Values from the calculation:
Space group ... P4/mmm (123)
DFT total energy ... -5.026 eV/atom
D(E_F) ... 2.29 states/eV per cell
V ... 29.114 Å³ per atom


Entry 2:
The following is a PBE+U calculation of an optimized crystal structure of Hf2TcMoF, from Alexandria.

Geometry as POSCAR:
```
Hf2TcMoF
1.0
5.149 0.000 0.000
0.000 4.549 0.000
0.000 0.000 5.149
Hf Tc F Mo
2 1 1 1
direct
0.500 0.000 0.000
0.000 0.000 0.500
0.000 0.500 0.000
0.500 0.500 0.500
0.000 0.000 0.000
```

Values from the calculation:
Space group ... P4/mmm (123)
DFT total energy ... -6.686 eV/atom
D(E_F) ... 3.68 states/eV per cell
V ... 24.116 Å³ per atom